1.
Below is crystalline Ca2Zn3Hg at its relaxed geometry, with properties calculated at the PBE level.

abc: 9.2884 8.8665 5.9183
angles: 74.88 67.15 37.96
With the nearest neighbours (Å) after each atom.
Positions (direct):
1 Ca 0.2486 0.7514 0.7514  10 Zn 3.19-3.28, 2 Hg 3.26
2 Ca 0.2500 0.2500 0.2500  4 Hg 3.25, 8 Zn 3.28-3.30
3 Ca 0.7500 0.7500 0.7500  4 Hg 3.25, 8 Zn 3.28-3.30
4 Ca 0.7514 0.2486 0.2486  10 Zn 3.19-3.28, 2 Hg 3.26
5 Zn 0.1764 0.6620 0.3380  2 Zn 2.59-2.60, 1 Hg 2.75
6 Zn 0.3383 0.3383 0.6617  2 Zn 2.59, 1 Hg 2.76
7 Zn 0.3380 0.8236 0.1764  2 Zn 2.59-2.60, 1 Hg 2.75
8 Zn 0.6620 0.1764 0.8236  2 Zn 2.59-2.60, 1 Hg 2.75
9 Zn 0.6617 0.6617 0.3383  2 Zn 2.59, 1 Hg 2.76
10 Zn 0.8236 0.3380 0.6620  2 Zn 2.59-2.60, 1 Hg 2.75
11 Hg 0.1671 0.1671 0.8329  3 Zn 2.75-2.76
12 Hg 0.8329 0.8329 0.1671  3 Zn 2.75-2.76

Calculated values
N(E_F) in states/eV/f.u.: 3.5
ΔH_f (0 K) in kJ per mole of atoms: -32
Total energy in eV for the cell shown: -20.26


2.
Below is crystalline AlAs2RhBr at its relaxed geometry, with properties calculated at the PBE level.

abc: 4.7512 4.7512 5.4973
angles: 90.00 90.00 90.00
With the nearest neighbours (Å) after each atom.
Positions (direct):
1 Al 0.0000 0.0000 0.0000  4 Br 3.36, 8 As 3.63
2 As 0.0000 0.5000 0.5000  2 Rh 2.38
3 As 0.5000 0.0000 0.5000  2 Rh 2.38
4 Rh 0.5000 0.5000 0.5000  4 As 2.38
5 Br 0.5000 0.5000 0.0000  2 Rh 2.75

Calculated values
Uncorrected formation energy in eV per atom: 0.3778
N(E_F) in states/eV/f.u.: 4.0
Energy above the most stable polymorph in this dataset in meV/atom: 0
Total energy in eV for the cell shown: -20.18